1.
# RbTlAsSe

A relaxed RbTlAsSe crystal (PBE, Alexandria).

It has space group Cm (No. 8), with a = 8.050 Å, b = 5.670 Å, c = 6.408 Å, α = 90.00°, β = 94.14° and γ = 90.00°. The inequivalent atoms are Rb at (0.000, 0.000, 0.000), Tl at (0.342, 0.000, 0.438), As at (0.225, 0.500, 0.425) and Se at (0.111, 0.500, 0.765).

The value obtained for the calculated density is 5.05 g/cm³. The value obtained for the density of states at the Fermi level is 1.7 states/eV/cell. The size of the total moment comes out at 0.00 μB/cell. Its energy is -3.243 eV/atom. For the energy relative to the lowest polymorph listed for this composition, the calculation gives 0.0 meV per atom.

---

2.
# Rb2TlAsSe4

A relaxed Rb2TlAsSe4 crystal (PBE, Alexandria).

It has space group Fddd (No. 70, origin choice 2), with a = 6.594 Å, b = 14.864 Å, c = 24.056 Å, α = 90.00°, β = 90.00° and γ = 90.00°. The inequivalent atoms are Rb at (0.125, 0.125, 0.308), Tl at (0.125, 0.125, 0.125), As at (0.125, 0.125, 0.625) and Se at (0.115, 0.271, 0.816).

The value obtained for the calculated density is 4.32 g/cm³. The size of the total moment comes out at 0.00 μB/cell. Its energy is -3.396 eV/atom.

---

3.
# RbTlAsSe3

A relaxed RbTlAsSe3 crystal (PBE, Alexandria).

It has space group C2/m (No. 12), with a = 11.859 Å, b = 8.439 Å, c = 9.764 Å, α = 90.00°, β = 118.74° and γ = 90.00°. The inequivalent atoms are Rb at (0.112, 0.000, 0.399), Tl at (0.000, 0.233, 0.000), As at (0.070, 0.500, 0.653), Se at (0.079, 0.500, 0.249) and Se at (0.190, 0.268, 0.714).

The value obtained for the calculated density is 4.66 g/cm³. The value obtained for the density of states at the Fermi level is 0.0 states/eV/cell. The size of the total moment comes out at 0.00 μB/cell. Its energy is -3.533 eV/atom.

---

4.
# RbTlAsSe

A relaxed RbTlAsSe crystal (PBE, Alexandria).

It has space group P3m1 (No. 156), with a = 5.4600 Å, b = 5.4600 Å, c = 5.7062 Å, α = 90.00°, β = 90.00° and γ = 120.00°. The inequivalent atoms are Rb at (0.0000, 0.0000, 0.0000), Tl at (0.3333, 0.6667, 0.4860), As at (0.6667, 0.3333, 0.6901) and Se at (0.6667, 0.3333, 0.2739).

The value obtained for the calculated density is 5.00 g/cm³. The value obtained for the density of states at the Fermi level is 3.1 states/eV/cell. The size of the total moment comes out at 0.00 μB/cell. Its energy is -3.170 eV/atom. For the energy relative to the lowest polymorph listed for this composition, the calculation gives 73.9 meV per atom.